Record 1
# PBE-GGA LiLa2MgCo, optimized geometry
data_LiLa2MgCo
_symmetry_space_group_name_H-M 'P 1'
_symmetry_Int_Tables_number 1
_cell_length_a 5.903
_cell_length_b 4.501
_cell_length_c 5.903
_cell_angle_alpha 90.00
_cell_angle_beta 90.00
_cell_angle_gamma 90.00
loop_
_symmetry_equiv_pos_as_xyz
'x,y,z'
loop_
_atom_site_label
_atom_site_fract_x
_atom_site_fract_y
_atom_site_fract_z
_atom_site_occupancy
Co1 0.500 0.500 0.500 1
La1 0.500 0.000 0.000 1
Li1 0.000 0.500 0.000 1
La2 0.000 0.000 0.500 1
Mg1 0.000 0.000 0.000 1
# Crystal system   tetragonal
# E_tot   -16.0 eV per cell
# ΔH_f (0 K)   898.5 meV/atom
# Space-group type   P4/mmm
# Theoretical density   3.90 Mg/m³
# V   31.4 A^3/atom


Record 2
# PBE-GGA Na2LiLaCo, optimized geometry
data_Na2LiLaCo
_symmetry_space_group_name_H-M 'P 1'
_symmetry_Int_Tables_number 1
_cell_length_a 4.752
_cell_length_b 4.752
_cell_length_c 6.243
_cell_angle_alpha 90.00
_cell_angle_beta 90.00
_cell_angle_gamma 90.00
loop_
_symmetry_equiv_pos_as_xyz
'x,y,z'
loop_
_atom_site_label
_atom_site_fract_x
_atom_site_fract_y
_atom_site_fract_z
_atom_site_occupancy
Li1 0.000 0.000 0.000 1
Na1 0.000 0.500 0.000 1
Co1 0.500 0.500 0.500 1
Na2 0.500 0.000 0.000 1
La1 0.000 0.000 0.500 1
# Crystal system   tetragonal
# E_tot   -12.3 eV per cell
# ΔH_f (0 K)   858.3 meV/atom
# Space-group type   P4/mmm
# Theoretical density   2.95 Mg/m³
# V   28.2 A^3/atom


Record 3
# PBE-GGA Li3La2CoNi12, optimized geometry
data_Li3La2CoNi12
_symmetry_space_group_name_H-M 'P 1'
_symmetry_Int_Tables_number 1
_cell_length_a 9.192
_cell_length_b 9.192
_cell_length_c 9.192
_cell_angle_alpha 37.90
_cell_angle_beta 37.90
_cell_angle_gamma 37.90
loop_
_symmetry_equiv_pos_as_xyz
'x,y,z'
loop_
_atom_site_label
_atom_site_fract_x
_atom_site_fract_y
_atom_site_fract_z
_atom_site_occupancy
La1 0.653 0.653 0.653 1
Ni1 0.349 0.932 0.932 1
Ni2 0.580 0.187 0.580 1
Co1 0.000 0.000 0.000 1
Ni3 0.420 0.420 0.813 1
Ni4 0.580 0.580 0.187 1
Ni5 0.068 0.068 0.651 1
Ni6 0.813 0.420 0.420 1
Ni7 0.651 0.068 0.068 1
Ni8 0.420 0.813 0.420 1
Ni9 0.932 0.349 0.932 1
La2 0.347 0.347 0.347 1
Ni10 0.068 0.651 0.068 1
Li1 0.000 0.500 0.000 1
Ni11 0.932 0.932 0.349 1
Li2 0.500 0.000 0.000 1
Ni12 0.187 0.580 0.580 1
Li3 0.000 0.000 0.500 1
# Crystal system   trigonal
# E_tot   -88.9 eV per cell
# ΔH_f (0 K)   178.1 meV/atom
# Space-group type   R-3m
# Theoretical density   6.71 Mg/m³
# V   14.6 A^3/atom